# 1
{
  "formula": "CaAgTe2I",
  "functional": "GGA-PBEsol",
  "state": "relaxed",
  "raw_formation_energy_mev_per_atom": -289,
  "e_tot_ev_per_atom": -3.14,
  "magnetic_moment_mub_per_fu": 0.00,
  "lattice": [[5.386, 0.000, 0.000], [0.000, 5.386, 0.000], [0.000, 0.000, 5.587]],
  "species": ["Ca", "Ag", "Te", "Te", "I"],
  "fractional_positions": [[0.000, 0.000, 0.000], [0.500, 0.500, 0.500], [0.000, 0.500, 0.500], [0.500, 0.000, 0.500], [0.500, 0.500, 0.000]]
}

***

# 2
{
  "formula": "CaIn2Ag",
  "functional": "GGA-PBEsol",
  "state": "relaxed",
  "e_tot_ev_per_atom": -3.13,
  "magnetic_moment_mub_per_fu": 0.00,
  "ef_ev_per_atom": -0.2825,
  "lattice": [[4.436, 0.000, 0.000], [0.000, 4.436, 0.000], [0.000, 0.000, 4.650]],
  "species": ["Ca", "In", "In", "Ag"],
  "fractional_positions": [[0.000, 0.000, 0.000], [0.000, 0.500, 0.500], [0.500, 0.000, 0.500], [0.500, 0.500, 0.000]]
}

***

# 3
{
  "formula": "Ca2InAg",
  "functional": "GGA-PBEsol",
  "state": "relaxed",
  "e_tot_ev_per_atom": -3.03,
  "magnetic_moment_mub_per_fu": 0.00,
  "ef_ev_per_atom": -0.3869,
  "lattice": [[3.654, 0.000, 0.000], [0.000, 3.654, 0.000], [0.000, 0.000, 7.674]],
  "species": ["Ca", "Ca", "In", "Ag"],
  "fractional_positions": [[0.000, 0.000, 0.236], [0.000, 0.000, 0.764], [0.500, 0.500, 0.500], [0.500, 0.500, 0.000]]
}

***

# 4
{
  "formula": "CaIn2Ag",
  "functional": "GGA-PBEsol",
  "state": "relaxed",
  "e_tot_ev_per_atom": -2.97,
  "magnetic_moment_mub_per_fu": 0.00,
  "ef_ev_per_atom": -0.1137,
  "lattice": [[1.819, 1.050, 8.752], [-1.819, 1.050, 8.752], [0.000, -2.100, 8.752]],
  "species": ["Ca", "In", "In", "Ag"],
  "fractional_positions": [[0.000, 0.000, 0.000], [0.238, 0.238, 0.238], [0.762, 0.762, 0.762], [0.500, 0.500, 0.500]]
}

***

# 5
{
  "formula": "Ca2InAg",
  "functional": "GGA-PBEsol",
  "state": "relaxed",
  "e_tot_ev_per_atom": -2.96,
  "magnetic_moment_mub_per_fu": 0.00,
  "ef_ev_per_atom": -0.3176,
  "lattice": [[-1.833, 2.623, 5.431], [1.833, -2.623, 5.431], [1.833, 2.623, -5.431]],
  "species": ["Ca", "Ca", "In", "Ag"],
  "fractional_positions": [[0.000, 0.000, 0.000], [0.705, 0.205, 0.500], [0.268, 0.768, 0.500], [0.466, 0.466, 0.000]]
}

***

# 6
{
  "formula": "CaIn2Ag",
  "functional": "GGA-PBEsol",
  "state": "relaxed",
  "e_tot_ev_per_atom": -3.13,
  "magnetic_moment_mub_per_fu": 0.00,
  "ef_ev_per_atom": -0.2824,
  "lattice": [[0.000, 3.556, 3.556], [3.556, 0.000, 3.556], [3.556, 3.556, 0.000]],
  "species": ["Ca", "In", "In", "Ag"],
  "fractional_positions": [[0.000, 0.000, 0.000], [0.250, 0.250, 0.250], [0.500, 0.500, 0.500], [0.750, 0.750, 0.750]]
}

***

# 7
{
  "formula": "CaAgIr2",
  "functional": "GGA-PBEsol",
  "state": "relaxed",
  "e_tot_ev_per_atom": -6.05,
  "magnetic_moment_mub_per_fu": 0.00,
  "ef_ev_per_atom": 0.2272,
  "de_polymorph_mev_per_atom": 36,
  "lattice": [[3.187, 0.000, 0.000], [0.000, 3.187, 0.000], [0.000, 0.000, 7.100]],
  "species": ["Ca", "Ag", "Ir", "Ir"],
  "fractional_positions": [[0.000, 0.000, 0.000], [0.500, 0.500, 0.696], [0.000, 0.000, 0.462], [0.500, 0.500, 0.284]]
}

***

# 8
{
  "formula": "Ca4AgIr",
  "functional": "GGA-PBEsol",
  "state": "relaxed",
  "e_tot_ev_per_atom": -2.88,
  "magnetic_moment_mub_per_fu": 0.00,
  "ef_ev_per_atom": 0.7266,
  "lattice": [[0.000, 4.165, 4.165], [4.165, 0.000, 4.165], [4.165, 4.165, 0.000]],
  "species": ["Ca", "Ca", "Ca", "Ca", "Ag", "Ir"],
  "fractional_positions": [[0.376, 0.376, 0.376], [0.376, 0.376, 0.872], [0.376, 0.872, 0.376], [0.872, 0.376, 0.376], [0.000, 0.000, 0.000], [0.750, 0.750, 0.750]]
}

***

# 9
{
  "formula": "Ca2AgIr",
  "functional": "GGA-PBEsol",
  "state": "relaxed",
  "e_tot_ev_per_atom": -4.58,
  "magnetic_moment_mub_per_fu": 0.00,
  "ef_ev_per_atom": -0.2255,
  "lattice": [[3.368, 0.000, 0.000], [0.000, 3.368, 0.000], [0.000, 0.000, 7.489]],
  "species": ["Ca", "Ca", "Ag", "Ir"],
  "fractional_positions": [[0.000, 0.000, 0.222], [0.000, 0.000, 0.778], [0.500, 0.500, 0.500], [0.500, 0.500, 0.000]]
}

***

# 10
{
  "formula": "CaAgIr2",
  "functional": "GGA-PBEsol",
  "state": "relaxed",
  "e_tot_ev_per_atom": -6.08,
  "magnetic_moment_mub_per_fu": 0.00,
  "ef_ev_per_atom": 0.1914,
  "de_polymorph_mev_per_atom": 0,
  "lattice": [[-1.434, 2.394, 5.065], [1.434, -2.394, 5.065], [1.434, 2.394, -5.065]],
  "species": ["Ca", "Ag", "Ir", "Ir"],
  "fractional_positions": [[0.000, 0.000, 0.000], [0.718, 0.218, 0.500], [0.273, 0.773, 0.500], [0.481, 0.481, 0.000]]
}

***

# 11
{
  "formula": "Ca2AgIrN",
  "functional": "GGA-PBEsol",
  "state": "relaxed",
  "raw_formation_energy_mev_per_atom": -23,
  "e_tot_ev_per_atom": -5.21,
  "magnetic_moment_mub_per_fu": 0.35,
  "lattice": [[4.742, 0.000, 0.000], [0.000, 4.742, 0.000], [0.000, 0.000, 4.030]],
  "species": ["Ca", "Ca", "Ag", "Ir", "N"],
  "fractional_positions": [[0.000, 0.500, 0.000], [0.500, 0.000, 0.000], [0.000, 0.000, 0.500], [0.500, 0.500, 0.500], [0.000, 0.000, 0.000]]
}

***

# 12
{
  "formula": "KCaAg3",
  "functional": "GGA-PBEsol",
  "state": "relaxed",
  "e_tot_ev_per_atom": -2.15,
  "magnetic_moment_mub_per_fu": 0.00,
  "ef_ev_per_atom": 0.4907,
  "lattice": [[5.595, 0.000, 0.000], [0.000, 5.595, 0.000], [0.000, 0.000, 5.595]],
  "species": ["K", "Ca", "Ag", "Ag", "Ag"],
  "fractional_positions": [[0.000, 0.000, 0.000], [0.500, 0.500, 0.500], [0.000, 0.500, 0.500], [0.500, 0.000, 0.500], [0.500, 0.500, 0.000]]
}